# 1
HfTc3Se | PBE | relaxed

Geometry as extended XYZ:
```
5
Lattice="4.515 0.000 0.000 0.000 4.515 0.000 0.000 0.000 4.515" Properties=species:S:1:pos:R:3 pbc="T T T"
Hf 2.258 2.258 2.258
Tc 0.000 2.258 0.000
Tc 0.000 0.000 2.258
Tc 2.258 0.000 0.000
Se 0.000 0.000 0.000
```

Computed properties:
total magnetization	0.0	μB per formula unit
polymorph energy (0 for the lowest one)	0	meV per atom

# 2
NdZnP2O8 | PBE | relaxed

Geometry as extended XYZ:
```
12
Lattice="-1.670 -1.646 4.611 -2.132 -1.851 -4.334 4.654 -5.070 -0.124" Properties=species:S:1:pos:R:3 pbc="T T T"
Nd 0.000 0.000 0.000
Zn 2.327 -2.535 -0.062
P -0.778 -2.854 1.601
P 1.629 -5.712 -1.449
O -1.974 -1.786 -1.353
O 0.433 -2.352 0.787
O -0.386 -3.159 3.061
O 2.826 -6.780 1.505
O 1.238 -5.407 -2.910
O 0.419 -6.214 -0.635
O 2.292 -4.492 -0.777
O -1.440 -4.075 0.929
```

Computed properties:
total magnetization	0.9	μB per formula unit

| no. | ΔE_f (raw) (eV per atom) |
| --- | --- |
| 1 | 0.5763 |
| 2 | -2.2488 |